Ce5YTe6 after structural relaxation. Source: Alexandria via LeMat-Bulk, functional PBE.

a = 7.7566 Å, b = 7.7566 Å, c = 7.7213 Å
α = 99.65°, β = 99.65°, γ = 120.12°
Closest atoms and distances in Å follow each position.
Sites, in units of the cell vectors:
Ce 0.0000 0.0000 0.0000  6 Te 3.17-3.20
Ce 0.1653 0.8347 0.5000  6 Te 3.16-3.17
Ce 0.3293 0.6707 0.0000  6 Te 3.16-3.18
Ce 0.6707 0.3293 0.0000  6 Te 3.16-3.18
Ce 0.8347 0.1653 0.5000  6 Te 3.16-3.17
Y 0.5000 0.5000 0.5000  6 Te 3.10-3.12
Te 0.0915 0.4191 0.2553  1 Y 3.10, 5 Ce 3.16-3.18
Te 0.2570 0.2570 0.7502  1 Y 3.12, 5 Ce 3.17-3.20
Te 0.4191 0.0915 0.2553  1 Y 3.10, 5 Ce 3.16-3.18
Te 0.5809 0.9085 0.7447  1 Y 3.10, 5 Ce 3.16-3.18
Te 0.7430 0.7430 0.2498  1 Y 3.12, 5 Ce 3.17-3.20
Te 0.9085 0.5809 0.7447  1 Y 3.10, 5 Ce 3.16-3.18

Properties
- VASP energy: -5.941 eV/atom
- Size of the total moment: 5.74 μB/cell



MgCo4Sb after structural relaxation. Source: Alexandria via LeMat-Bulk, functional PBE.

a = 4.8981 Å, b = 4.8981 Å, c = 4.8981 Å
α = 60.00°, β = 60.00°, γ = 60.00°
Closest atoms and distances in Å follow each position.
Sites, in units of the cell vectors:
Mg 0.0000 0.0000 0.0000  12 Co 2.87, 4 Sb 3.00
Co 0.1240 0.6253 0.6253  6 Co 2.44-2.46
Co 0.6253 0.1240 0.6253  6 Co 2.44-2.46
Co 0.6253 0.6253 0.1240  6 Co 2.44-2.46
Co 0.6253 0.6253 0.6253  6 Co 2.44-2.46
Sb 0.2500 0.2500 0.2500  12 Co 2.87, 4 Mg 3.00

Properties
- VASP energy: -5.617 eV/atom
- Size of the total moment: 6.49 μB/cell



Rb6HCl2F3 after structural relaxation. Source: Alexandria via LeMat-Bulk, functional PBE.

a = 9.7123 Å, b = 9.7123 Å, c = 8.7126 Å
α = 103.63°, β = 103.63°, γ = 25.60°
Closest atoms and distances in Å follow each position.
Sites, in units of the cell vectors:
Rb 0.0068 0.0068 0.2489  3 F 2.90-3.04, 2 H 3.09, 1 Cl 3.20
Rb 0.3311 0.3311 0.4410  3 F 2.88-3.07, 1 H 3.11, 2 Cl 3.21
Rb 0.3436 0.3436 0.8960  3 F 2.88-2.94
Rb 0.6564 0.6564 0.1040  3 F 2.88-2.94
Rb 0.6689 0.6689 0.5590  3 F 2.88-3.07, 1 H 3.11, 2 Cl 3.21
Rb 0.9932 0.9932 0.7511  3 F 2.90-3.04, 2 H 3.09, 1 Cl 3.20
H 0.5000 0.5000 0.5000  6 Rb 3.09-3.11
Cl 0.1673 0.1673 0.8323  6 Rb 3.20-3.25
Cl 0.8327 0.8327 0.1677  6 Rb 3.20-3.25
F 0.1643 0.1643 0.3368  6 Rb 2.88-3.07
F 0.5000 0.5000 0.0000  6 Rb 2.88-3.04
F 0.8357 0.8357 0.6632  6 Rb 2.88-3.07

Properties
- VASP energy: -3.521 eV/atom
- Size of the total moment: 0.02 μB/cell



Ca2FeC2 after structural relaxation. Source: Alexandria via LeMat-Bulk, functional PBE.

a = 6.3357 Å, b = 6.3357 Å, c = 6.3357 Å
α = 124.84°, β = 74.99°, γ = 133.45°
Closest atoms and distances in Å follow each position.
Sites, in units of the cell vectors:
Ca 0.1506 0.1591 0.3097  5 C 2.56-2.82, 2 Fe 2.80
Ca 0.3494 0.6591 0.0085  5 C 2.56-2.82, 2 Fe 2.80
Ca 0.6506 0.3409 0.9915  5 C 2.56-2.82, 2 Fe 2.80
Ca 0.8494 0.8409 0.6903  5 C 2.56-2.82, 2 Fe 2.80
Fe 0.2500 0.7500 0.5000  4 C 1.92
Fe 0.7500 0.2500 0.5000  4 C 1.92
C 0.0951 0.6878 0.7829  2 Fe 1.92
C 0.4049 0.1878 0.5927  2 Fe 1.92
C 0.5951 0.8122 0.4073  2 Fe 1.92
C 0.9049 0.3122 0.2171  2 Fe 1.92

Properties
- Size of the total moment: 0.52 μB/cell
- Formation energy from the elements: 0.19 eV/atom



CaLaOF2 after structural relaxation. Source: Alexandria via LeMat-Bulk, functional PBE.

a = 4.8269 Å, b = 4.8269 Å, c = 4.5622 Å
α = 90.00°, β = 90.00°, γ = 90.00°
Closest atoms and distances in Å follow each position.
Sites, in units of the cell vectors:
Ca 0.0000 0.0000 0.0000  8 F 3.32, 4 O 3.41
La 0.5000 0.5000 0.5000  2 O 2.28, 4 F 2.41
O 0.5000 0.5000 0.0000  2 La 2.28
F 0.0000 0.5000 0.5000  2 La 2.41
F 0.5000 0.0000 0.5000  2 La 2.41

Properties
- Size of the total moment: 0.00 μB/cell
- Energy above the most stable polymorph in this dataset: 0.05 eV per formula unit